Ba2In6Pb3 | Alexandria | PBE | optimized geometry; DOS(E_F) = 5.2 states/eV per cell; total magnetic moment = 0.00 Bohr magnetons per cell; calculated formation energy = -0.170 eV/atom
1.0
5.8577 -6.8266 0.0000
5.8577 6.8266 0.0000
0.0000 0.0000 4.8991
Ba In Pb
2 6 3
Cartesian
5.8577 4.0113 0.0000
5.8577 -4.0113 0.0000
1.3966 0.0000 2.4495
3.5193 2.1279 2.4495
3.5193 -2.1279 2.4495
8.1960 2.1279 2.4495
8.1960 -2.1279 2.4495
10.3188 0.0000 2.4495
3.4399 0.0000 0.0000
5.8577 0.0000 2.4495
8.2755 0.0000 0.0000